A plane-wave DFT calculation with PBE+U was carried out for a geometry-optimized CrMoF6 structure.

It has space group R-3 (No. 148, hexagonal axes), with a = 5.2407 Å, b = 5.2407 Å, c = 14.0812 Å, α = 90.00°, β = 90.00° and γ = 120.00°. The asymmetric unit holds Cr at (0.0000, 0.0000, 0.0000), Mo at (0.0000, 0.0000, 0.5000) and F at (0.0148, 0.3806, 0.7468).

Its total energy is -5.891 eV/atom. As for the total magnetization: 0.750 μB per atom. The theoretical density is 3.9 g cm⁻³. The excess energy over the best structure of this formula in the dataset is 0.0 meV per atom.